Entry 1:
Compound: PuUReTc
Source: the Alexandria database
Functional: GGA-PBE
Structure: optimized geometry

Cell and atoms, written as POSCAR:
```
PuUReTc
1.0
-2.289 3.512 2.284
-0.660 -0.257 4.721
2.407 2.921 2.909
Re U Tc Pu
1 1 1 1
Cartesian
-0.135 1.544 2.479
0.000 0.000 0.000
-0.406 4.632 7.436
-0.271 3.088 4.957
```

ΔE_f = 0.158 eV/atom
Raw total energy = -47.801 eV/cell
Spin magnetization = 5.103 μB/f.u.
Fermi-level density of states = 1.911 states/eV/atom

Entry 2:
Compound: Ti2NiAg2
Source: the Alexandria database
Functional: GGA-PBE
Structure: optimized geometry

Cell and atoms, written as POSCAR:
```
Ti2NiAg2
1.0
-3.635 2.436 5.453
2.852 -4.901 4.090
2.610 2.164 0.773
Ni Ag Ti
2 4 4
Cartesian
0.000 0.000 0.000
-0.392 -1.233 4.772
1.140 -3.349 5.521
-1.329 -1.011 7.313
-1.924 0.883 4.022
0.545 -1.455 2.230
2.598 -1.787 4.052
1.238 -1.355 7.435
-0.771 1.486 6.265
0.589 1.054 2.882
```

ΔE_f = 0.343 eV/atom
Raw total energy = -51.113 eV/cell
Spin magnetization = 0.000 μB/f.u.
Fermi-level density of states = 1.253 states/eV/atom

Entry 3:
Compound: Ce2YNi2Ge2
Source: the Alexandria database
Functional: GGA-PBE
Structure: optimized geometry

Cell and atoms, written as POSCAR:
```
Ce2YNi2Ge2
1.0
-2.422 3.406 -0.456
-1.422 1.074 -3.807
-8.534 -3.489 -0.117
Ce Y Ni Ge
2 1 2 2
Cartesian
-5.551 -1.440 -0.654
-6.827 2.431 -3.727
0.000 0.000 0.000
-4.183 1.873 -2.551
-8.195 -0.883 -1.830
-9.578 0.540 -3.232
-2.799 0.450 -1.148
```

ΔE_f = -0.646 eV/atom
Raw total energy = -43.652 eV/cell
Spin magnetization = 0.818 μB/f.u.
Fermi-level density of states = 1.106 states/eV/atom

Entry 4:
Compound: ScI2Br
Source: the Alexandria database
Functional: GGA-PBE
Structure: optimized geometry

Cell and atoms, written as POSCAR:
```
ScI2Br
1.0
-2.449 -1.158 3.095
3.542 -3.700 1.419
2.525 4.679 6.470
Sc I Br
1 2 1
Cartesian
3.619 -0.179 10.983
3.236 -2.928 4.199
0.382 2.748 6.785
1.770 -1.851 0.710
```

Raw total energy = -16.463 eV/cell
Distance to the lowest polymorph of the same formula = 0.00 eV per formula unit
Spin magnetization = 0.000 μB/f.u.
ΔE_f (raw) = -1.340 eV/atom
Fermi-level density of states = 0.000 states/eV/atom

Entry 5:
Compound: PmInSnHg
Source: the Alexandria database
Functional: GGA-PBE
Structure: optimized geometry

Cell and atoms, written as POSCAR:
```
PmInSnHg
1.0
-2.989 -0.866 3.424
3.648 -0.030 3.178
-0.546 4.527 0.669
Pm In Sn Hg
1 1 1 1
Cartesian
0.330 -0.448 3.301
0.000 0.000 0.000
1.551 2.249 1.923
-1.767 1.830 2.046
```

ΔE_f = -0.483 eV/atom
Raw total energy = -13.727 eV/cell
Distance to the lowest polymorph of the same formula = 0.00 eV per formula unit
Spin magnetization = 0.000 μB/f.u.
Fermi-level density of states = 0.345 states/eV/atom

Entry 6:
Compound: LaTb5Sc2
Source: the Alexandria database
Functional: GGA-PBE
Structure: optimized geometry

Cell and atoms, written as POSCAR:
```
LaTb5Sc2
1.0
-3.460 -3.453 0.714
4.307 -4.867 -2.667
5.138 -2.492 12.848
La Tb Sc
2 10 4
Cartesian
2.569 -1.246 6.424
2.154 -2.434 -1.333
0.000 0.000 0.000
4.723 -3.680 5.091
5.974 -4.272 8.293
3.471 -3.088 1.889
1.298 -0.644 3.173
8.147 -6.715 7.008
3.809 -5.092 10.922
2.176 -5.720 -0.026
1.287 -3.899 4.469
4.698 -6.913 6.427
2.554 -4.491 7.744
3.432 -6.321 3.151
0.007 -3.270 1.306
5.979 -7.542 9.589
```

ΔE_f = 0.043 eV/atom
Raw total energy = -80.793 eV/cell
Spin magnetization = 0.000 μB/f.u.
Fermi-level density of states = 1.508 states/eV/atom

Entry 7:
Compound: Er4Mg2Cd3
Source: the Alexandria database
Functional: GGA-PBE
Structure: optimized geometry

Cell and atoms, written as POSCAR:
```
Er4Mg2Cd3
1.0
-1.294 -4.741 -0.994
2.348 -3.940 3.094
-5.742 -0.031 7.624
Er Mg Cd
4 2 3
Cartesian
-4.357 -5.867 8.365
0.230 -3.843 5.388
-4.918 -4.870 4.336
-0.331 -2.846 1.359
-3.721 -3.034 6.670
-0.967 -5.678 3.054
-2.264 -2.843 3.861
0.000 0.000 0.000
-2.424 -5.870 5.863
```

ΔE_f = -0.161 eV/atom
Raw total energy = -25.631 eV/cell
Spin magnetization = 0.000 μB/f.u.
Fermi-level density of states = 0.734 states/eV/atom

Entry 8:
Compound: TcNi2AsS
Source: the Alexandria database
Functional: GGA-PBE
Structure: optimized geometry

Cell and atoms, written as POSCAR:
```
TcNi2AsS
1.0
-3.987 2.231 -0.842
-0.498 -2.257 -3.621
-2.323 -3.263 2.353
S Ni As Tc
1 2 1 1
Cartesian
-0.249 -1.128 -1.811
-1.162 -1.632 1.176
-1.993 1.116 -0.421
-3.404 -1.644 -1.055
0.000 0.000 0.000
```

Raw total energy = -26.040 eV/cell
Distance to the lowest polymorph of the same formula = 1.36 eV per formula unit
Spin magnetization = 0.000 μB/f.u.
ΔE_f (raw) = 0.933 eV/atom
Fermi-level density of states = 1.059 states/eV/atom

Entry 9:
Compound: SbIr2OsSe
Source: the Alexandria database
Functional: GGA-PBE
Structure: optimized geometry

Cell and atoms, written as POSCAR:
```
SbIr2OsSe
1.0
4.532 0.000 0.000
0.000 5.211 0.000
0.000 0.000 4.532
Sb Ir Os Se
1 2 1 1
Cartesian
0.000 2.606 0.000
0.000 0.000 2.266
2.266 0.000 0.000
2.266 2.606 2.266
0.000 0.000 0.000
```

Raw total energy = -27.097 eV/cell
Spin magnetization = 2.904 μB/f.u.
ΔE_f (raw) = 1.892 eV/atom
Fermi-level density of states = 1.487 states/eV/atom

Entry 10:
Compound: MoAuBr2
Source: the Alexandria database
Functional: GGA-PBE
Structure: optimized geometry

Cell and atoms, written as POSCAR:
```
MoAuBr2
1.0
-0.637 -2.395 -2.238
3.632 -1.912 1.011
-1.852 -5.026 5.905
Mo Au Br
1 1 2
Cartesian
-0.101 -3.453 3.723
1.054 -5.988 3.616
-1.290 -4.783 5.485
0.519 -3.603 1.217
```

Raw total energy = -17.119 eV/cell
Distance to the lowest polymorph of the same formula = 0.00 eV per formula unit
Spin magnetization = 1.902 μB/f.u.
ΔE_f (raw) = 0.084 eV/atom
Fermi-level density of states = 0.672 states/eV/atom

Entry 11:
Compound: SbMo2PtCl
Source: the Alexandria database
Functional: GGA-PBE
Structure: optimized geometry

Cell and atoms, written as POSCAR:
```
SbMo2PtCl
1.0
4.367 0.000 0.000
0.000 5.194 0.000
0.000 0.000 4.367
Sb Mo Pt Cl
1 2 1 1
Cartesian
0.000 2.597 0.000
0.000 0.000 2.183
2.183 0.000 0.000
2.183 2.597 2.183
0.000 0.000 0.000
```

Raw total energy = -27.332 eV/cell
Spin magnetization = 0.000 μB/f.u.
ΔE_f (raw) = 1.268 eV/atom
Fermi-level density of states = 0.824 states/eV/atom

Entry 12:
Compound: AlZnHg4
Source: the Alexandria database
Functional: GGA-PBE
Structure: optimized geometry

Cell and atoms, written as POSCAR:
```
AlZnHg4
1.0
0.962 -5.812 1.302
0.871 -1.706 5.721
-4.238 -3.189 2.876
Al Zn Hg
1 1 4
Cartesian
0.000 0.000 0.000
-1.803 -8.029 7.424
-0.421 -6.919 4.363
-3.019 -5.609 5.150
-0.466 -4.868 6.571
-0.902 -4.016 3.713
```

ΔE_f = 0.351 eV/atom
Raw total energy = -4.120 eV/cell
Spin magnetization = 0.000 μB/f.u.
Fermi-level density of states = 0.406 states/eV/atom

spin magnetization of number 1 (PuUReTc)? 5.103 μB/f.u.

Copy entry 9 word for word.
Compound: SbIr2OsSe
Source: the Alexandria database
Functional: GGA-PBE
Structure: optimized geometry

Cell and atoms, written as POSCAR:
```
SbIr2OsSe
1.0
4.532 0.000 0.000
0.000 5.211 0.000
0.000 0.000 4.532
Sb Ir Os Se
1 2 1 1
Cartesian
0.000 2.606 0.000
0.000 0.000 2.266
2.266 0.000 0.000
2.266 2.606 2.266
0.000 0.000 0.000
```

Raw total energy = -27.097 eV/cell
Spin magnetization = 2.904 μB/f.u.
ΔE_f (raw) = 1.892 eV/atom
Fermi-level density of states = 1.487 states/eV/atom

Among the records above, which one has the lowest Fermi-level density of states? ScI2Br